# KNa2TiF8 | Alexandria | PBE-GGA | optimized geometry
# Formation energy without anion corrections, kJ/mol of atoms: -277.3
# Total magnetization, μB/cell: 1.1
data_KNa2TiF8
_chemical_formula_sum 'K1 Na2 Ti1 F8'
_space_group_name_H-M_alt 'P -1'
_space_group_IT_number 2
_cell_length_a 4.9432
_cell_length_b 5.1115
_cell_length_c 7.5008
_cell_angle_alpha 90.13
_cell_angle_beta 90.43
_cell_angle_gamma 90.58
loop_
_space_group_symop_operation_xyz
'x,y,z'
'-x,-y,-z'
loop_
_atom_site_label
_atom_site_type_symbol
_atom_site_fract_x
_atom_site_fract_y
_atom_site_fract_z
K1 K 0.0000 0.0000 0.0000
Na1 Na 0.5003 0.5002 0.2831
Ti1 Ti 0.0000 0.0000 0.5000
F1 F 0.2021 0.8372 0.3179
F2 F 0.2068 0.8418 0.6833
F3 F 0.2460 0.2876 0.4985
F4 F 0.3068 0.4416 0.9992

=====

# KNa2TiF6 | Alexandria | PBE-GGA | optimized geometry
# Formation energy without anion corrections, kJ/mol of atoms: -290.4
# Total magnetization, μB/cell: 1.0
data_KNa2TiF6
_chemical_formula_sum 'K1 Na2 Ti1 F6'
_space_group_name_H-M_alt 'P 1'
_space_group_IT_number 1
_cell_length_a 5.8431
_cell_length_b 5.8503
_cell_length_c 6.2120
_cell_angle_alpha 62.03
_cell_angle_beta 62.22
_cell_angle_gamma 60.25
loop_
_space_group_symop_operation_xyz
'x,y,z'
loop_
_atom_site_label
_atom_site_type_symbol
_atom_site_fract_x
_atom_site_fract_y
_atom_site_fract_z
K1 K 0.0000 0.0000 0.0000
Na1 Na 0.2770 0.2804 0.1664
Na2 Na 0.7894 0.7921 0.6258
Ti1 Ti 0.4806 0.4823 0.5542
F1 F 0.1197 0.4345 0.7945
F2 F 0.2472 0.8413 0.3611
F3 F 0.4317 0.6490 0.7976
F4 F 0.5611 0.2500 0.3542
F5 F 0.6462 0.1228 0.7972
F6 F 0.8368 0.5576 0.3547

=====

# KNaTl2F4 | Alexandria | PBE-GGA | optimized geometry
# Formation energy without anion corrections, kJ/mol of atoms: -211.3
# Total magnetization, μB/cell: 0.0
data_KNaTl2F4
_chemical_formula_sum 'K1 Na1 Tl2 F4'
_space_group_name_H-M_alt 'P 1 2/m 1'
_space_group_IT_number 10
_cell_length_a 6.5078
_cell_length_b 3.7619
_cell_length_c 6.7162
_cell_angle_alpha 90.00
_cell_angle_beta 108.77
_cell_angle_gamma 90.00
loop_
_space_group_symop_operation_xyz
'x,y,z'
'-x,-y,-z'
'-x,y,-z'
'x,-y,z'
loop_
_atom_site_label
_atom_site_type_symbol
_atom_site_fract_x
_atom_site_fract_y
_atom_site_fract_z
K1 K 0.0000 0.0000 0.0000
Na1 Na 0.5000 0.5000 0.0000
Tl1 Tl 0.0000 0.5000 0.5000
Tl2 Tl 0.5000 0.0000 0.5000
F1 F 0.2599 0.5000 0.2206
F2 F 0.2740 0.0000 0.7833

=====

# K2NaTlF4 | Alexandria | PBE-GGA | optimized geometry
# Formation energy without anion corrections, kJ/mol of atoms: -233.4
# Total magnetization, μB/cell: 0.0
data_K2NaTlF4
_chemical_formula_sum 'K8 Na4 Tl4 F16'
_space_group_name_H-M_alt 'C m c m'
_space_group_IT_number 63
_space_group_name_Hall '-C 2c 2'
_cell_length_a 3.8197
_cell_length_b 12.8458
_cell_length_c 13.0711
_cell_angle_alpha 90.00
_cell_angle_beta 90.00
_cell_angle_gamma 90.00
loop_
_atom_site_label
_atom_site_type_symbol
_atom_site_fract_x
_atom_site_fract_y
_atom_site_fract_z
K1 K 0.0000 0.1294 0.0396
Na1 Na 0.0000 0.3613 0.7500
Tl1 Tl 0.0000 0.3731 0.2500
F1 F 0.0000 0.0539 0.2500
F2 F 0.0000 0.2428 0.6278
F3 F 0.0000 0.5000 0.0000

=====

# K2NaTl3F6 | Alexandria | PBE-GGA | optimized geometry
# Formation energy without anion corrections, kJ/mol of atoms: -213.2
# Total magnetization, μB/cell: 0.0
data_K2NaTl3F6
_chemical_formula_sum 'K4 Na2 Tl6 F12'
_space_group_name_H-M_alt 'C 1 2/m 1'
_space_group_IT_number 12
_cell_length_a 6.6037
_cell_length_b 11.4222
_cell_length_c 6.7210
_cell_angle_alpha 90.00
_cell_angle_beta 108.82
_cell_angle_gamma 90.00
loop_
_space_group_symop_operation_xyz
'x,y,z'
'-x,-y,-z'
'-x,y,-z'
'x,-y,z'
'x+1/2,y+1/2,z'
'-x+1/2,-y+1/2,-z'
'-x+1/2,y+1/2,-z'
'x+1/2,-y+1/2,z'
loop_
_atom_site_label
_atom_site_type_symbol
_atom_site_fract_x
_atom_site_fract_y
_atom_site_fract_z
K1 K 0.0000 0.1676 0.0000
Na1 Na 0.0000 0.5000 0.0000
Tl1 Tl 0.0000 0.0000 0.5000
Tl2 Tl 0.0000 0.3343 0.5000
F1 F 0.2226 0.3501 0.2154
F2 F 0.2311 0.5000 0.7609

=====

# KNa2TlF4 | Alexandria | PBE-GGA | optimized geometry
# Formation energy without anion corrections, kJ/mol of atoms: -230.4
# Total magnetization, μB/cell: 0.0
data_KNa2TlF4
_chemical_formula_sum 'K4 Na8 Tl4 F16'
_space_group_name_H-M_alt 'C m c m'
_space_group_IT_number 63
_space_group_name_Hall '-C 2c 2'
_cell_length_a 3.5090
_cell_length_b 14.2708
_cell_length_c 10.8858
_cell_angle_alpha 90.00
_cell_angle_beta 90.00
_cell_angle_gamma 90.00
loop_
_atom_site_label
_atom_site_type_symbol
_atom_site_fract_x
_atom_site_fract_y
_atom_site_fract_z
K1 K 0.0000 0.2425 0.2500
Na1 Na 0.0000 0.3695 0.5175
Tl1 Tl 0.0000 0.0307 0.7500
F1 F 0.0000 0.0000 0.0000
F2 F 0.0000 0.1972 0.5904
F3 F 0.0000 0.3957 0.7500